A geometry-optimized CoPIrO structure. Source: OQMD, functional PBE with a Hubbard U.

Total moment, μB/f.u.: 1.1
Uncorrected energy, eV/cell: -47.4
Offset from the most stable computed form, meV/atom: 782

The structure in POSCAR format:
```
CoPIrO
1.0
3.572 0.000 0.000
0.000 3.572 0.000
0.000 0.000 6.884
Co Ir O P
2 2 2 2
Direct
0.000 0.000 0.500
0.500 0.500 0.500
0.500 0.000 0.195
0.000 0.500 0.805
0.000 0.000 0.000
0.500 0.500 0.000
0.000 0.500 0.313
0.500 0.000 0.687
```